(1)
Gd2ErBi | PBE | relaxed

Lattice parameters (Å, degrees): 4.916 4.890 4.890 90.00 90.00 90.00
Last column: magnetic moment on the atom in μB.
Sites, in units of the cell vectors:
Bi (0.500, 0.000, 0.000)  -0.05
Er (0.500, 0.500, 0.500)  0.27
Gd (0.000, 0.000, 0.500)  7.30
Gd (0.000, 0.500, 0.000)  7.30

Uncorrected energy   -38.1 eV per cell

(2)
Nb3CdHg | PBE | relaxed

Lattice parameters (Å, degrees): 5.005 5.005 5.005 90.00 90.00 90.00
Last column: magnetic moment on the atom in μB.
Sites, in units of the cell vectors:
Nb (0.000, 0.000, 0.500)  0.22
Nb (0.500, 0.000, 0.000)  0.33
Nb (0.000, 0.500, 0.000)  0.23
Cd (0.000, 0.000, 0.000)  0.01
Hg (0.500, 0.500, 0.500)  0.00

Uncorrected energy   -22.3 eV per cell

(3)
LiTb2Ce | PBE | relaxed

Lattice parameters (Å, degrees): 3.586 3.586 8.656 90.00 90.00 90.00
Last column: magnetic moment on the atom in μB.
Sites, in units of the cell vectors:
Li (0.500, 0.500, 0.000)  0.00
Tb (0.000, 0.000, 0.769)  0.00
Tb (0.000, 0.000, 0.231)  0.00
Ce (0.500, 0.500, 0.500)  0.10

Uncorrected energy   -16.7 eV per cell

(4)
Pa3Ti2Zn9 | PBE | relaxed

Lattice parameters (Å, degrees): 4.418 8.092 8.092 67.82 74.16 74.16
Sites, in units of the cell vectors:
Zn (0.342, 0.019, 0.298)
Zn (0.000, 0.500, 0.500)
Zn (0.140, 0.142, 0.579)
Zn (0.342, 0.298, 0.019)
Zn (0.860, 0.421, 0.858)
Zn (0.658, 0.702, 0.981)
Zn (0.140, 0.579, 0.142)
Zn (0.658, 0.981, 0.702)
Zn (0.860, 0.858, 0.421)
Pa (0.707, 0.293, 0.293)
Pa (0.000, 0.000, 0.000)
Pa (0.293, 0.707, 0.707)
Ti (0.500, 0.665, 0.335)
Ti (0.500, 0.335, 0.665)

Uncorrected energy   -56.8 eV per cell

Number 1: formation enthalpy at 0 K -0.3769 eV per atom, DOS(E_F) 5.576 states/eV per cell. Number 2: formation enthalpy at 0 K 1.8301 eV per atom, DOS(E_F) 15.588 states/eV per cell. Number 3: formation enthalpy at 0 K 0.1033 eV per atom, DOS(E_F) 6.653 states/eV per cell. Number 4: formation enthalpy at 0 K -0.0723 eV per atom, DOS(E_F) 16.683 states/eV per cell.